Entry 1:
Density functional theory data (PBE-GGA) for a geometry-optimized Y6NiHg5 structure.

symmetry: C2/m, No. 12
density of states at the Fermi level: 8.164 states/eV per cell
spin magnetization: 0.0 μB per cell
electronic total energy: -4.310 eV per atom
energy of formation: -5.6 eV/f.u.

abc: 8.9779 8.9779 5.1888
angles: 106.70 106.70 48.94
Closest atoms and distances in Å follow each position.
Fractional positions:
1 Y 0.0800 0.6023 0.3411  1 Ni 3.04, 7 Hg 3.14-3.24
2 Y 0.2310 0.7690 0.0000  2 Ni 3.11, 6 Hg 3.23-3.28, 1 Y 3.44
3 Y 0.3977 0.9200 0.6589  1 Ni 3.04, 7 Hg 3.14-3.24
4 Y 0.6023 0.0800 0.3411  1 Ni 3.04, 7 Hg 3.14-3.24
5 Y 0.7690 0.2310 0.0000  2 Ni 3.11, 6 Hg 3.23-3.28, 1 Y 3.44
6 Y 0.9200 0.3977 0.6589  1 Ni 3.04, 7 Hg 3.14-3.24
7 Ni 0.0000 0.0000 0.5000  8 Y 3.04-3.11
8 Hg 0.1762 0.1762 0.1764  8 Y 3.16-3.23
9 Hg 0.3339 0.3339 0.8340  8 Y 3.24-3.26, 2 Hg 3.56-3.57
10 Hg 0.5000 0.5000 0.5000  8 Y 3.14-3.28
11 Hg 0.6661 0.6661 0.1660  8 Y 3.24-3.26, 2 Hg 3.56-3.57
12 Hg 0.8238 0.8238 0.8236  8 Y 3.16-3.23


Entry 2:
Density functional theory data (PBE-GGA) for a geometry-optimized CrCoNi2 structure.

symmetry: Pmmm, No. 47
density of states at the Fermi level: 5.763 states/eV per cell
spin magnetization: 2.4 μB per cell
electronic total energy: -7.014 eV per atom
energy of formation: 0.2 eV/f.u.

abc: 2.4442 3.6469 4.9170
angles: 90.00 90.00 90.00
Closest atoms and distances in Å follow each position.
Fractional positions:
1 Cr 0.0000 0.0000 0.0000  2 Cr 2.44, 2 Co 2.46, 8 Ni 2.52
2 Co 0.0000 0.0000 0.5000  2 Co 2.44, 2 Cr 2.46, 8 Ni 2.51
3 Ni 0.5000 0.5000 0.2512  4 Ni 2.44-2.47, 4 Co 2.51, 4 Cr 2.52
4 Ni 0.5000 0.5000 0.7488  4 Ni 2.44-2.47, 4 Co 2.51, 4 Cr 2.52


Entry 3:
Density functional theory data (PBE-GGA) for a geometry-optimized Th2BiPd structure.

symmetry: R-3m, No. 166
density of states at the Fermi level: 3.458 states/eV per cell
spin magnetization: 0.0 μB per cell
electronic total energy: -6.559 eV per atom
energy of formation: -2.3 eV/f.u.

abc: 8.1083 8.1083 8.1083
angles: 30.52 30.52 30.52
Closest atoms and distances in Å follow each position.
Fractional positions:
1 Th 0.2386 0.2386 0.2386  3 Pd 2.98, 3 Bi 3.30
2 Th 0.7614 0.7614 0.7614  3 Pd 2.98, 3 Bi 3.30
3 Bi 0.0000 0.0000 0.0000  6 Th 3.30
4 Pd 0.5000 0.5000 0.5000  6 Th 2.98


Entry 4:
Density functional theory data (PBE-GGA) for a geometry-optimized Li2MnI5 structure.

symmetry: Cmcm, No. 63
density of states at the Fermi level: 3.369 states/eV per cell
spin magnetization: 8.0 μB per cell
formation energy without anion corrections: -725 meV/atom
electronic total energy: -3.318 eV per atom

abc: 8.6492 8.6492 12.7446
angles: 90.00 90.00 138.85
Closest atoms and distances in Å follow each position.
Fractional positions:
1 Li 0.1969 0.8031 0.5599  5 I 2.80-3.09
2 Li 0.1969 0.8031 0.9401  5 I 2.80-3.09
3 Li 0.8031 0.1969 0.0599  5 I 2.80-3.09
4 Li 0.8031 0.1969 0.4401  5 I 2.80-3.09
5 Mn 0.1985 0.8015 0.2500  4 I 2.67-2.76
6 Mn 0.8015 0.1985 0.7500  4 I 2.67-2.76
7 I 0.0809 0.9191 0.1031  1 Mn 2.67, 1 Li 2.80
8 I 0.0809 0.9191 0.3969  1 Mn 2.67, 1 Li 2.80
9 I 0.2864 0.7136 0.7500  2 Li 2.82, 2 Mn 3.05
10 I 0.3199 0.6802 0.0979  1 Mn 2.76, 3 Li 2.83-3.09
11 I 0.3199 0.6802 0.4021  1 Mn 2.76, 3 Li 2.83-3.09
12 I 0.6802 0.3199 0.5979  1 Mn 2.76, 3 Li 2.83-3.09
13 I 0.6802 0.3199 0.9021  1 Mn 2.76, 3 Li 2.83-3.09
14 I 0.7136 0.2864 0.2500  2 Li 2.82, 2 Mn 3.05
15 I 0.9191 0.0809 0.6031  1 Mn 2.67, 1 Li 2.80
16 I 0.9191 0.0809 0.8969  1 Mn 2.67, 1 Li 2.80


Entry 5:
Density functional theory data (PBE-GGA) for a geometry-optimized Y3TcO6 structure.

symmetry: R-3, No. 148
density of states at the Fermi level: 0.035 states/eV per cell
spin magnetization: 4.0 μB per cell
formation energy without anion corrections: -2892 meV/atom
electronic total energy: -8.843 eV per atom

abc: 6.5389 6.5389 6.5389
angles: 98.14 98.14 98.14
Closest atoms and distances in Å follow each position.
Fractional positions:
1 Y 0.1030 0.6123 0.7858  6 O 2.28-2.43
2 Y 0.2142 0.8970 0.3877  6 O 2.28-2.43
3 Y 0.3877 0.2142 0.8970  6 O 2.28-2.43
4 Y 0.6123 0.7858 0.1030  6 O 2.28-2.43
5 Y 0.7858 0.1030 0.6123  6 O 2.28-2.43
6 Y 0.8970 0.3877 0.2142  6 O 2.28-2.43
7 Tc 0.0000 0.0000 0.0000  6 O 2.14
8 Tc 0.5000 0.5000 0.5000  6 O 2.07
9 O 0.0671 0.3064 0.9222  1 Tc 2.14, 3 Y 2.28-2.38
10 O 0.0778 0.9329 0.6936  1 Tc 2.14, 3 Y 2.28-2.38
11 O 0.1940 0.5521 0.4369  1 Tc 2.07, 2 Y 2.28-2.31
12 O 0.3064 0.9222 0.0671  1 Tc 2.14, 3 Y 2.28-2.38
13 O 0.4369 0.1940 0.5521  1 Tc 2.07, 2 Y 2.28-2.31
14 O 0.4479 0.5631 0.8060  1 Tc 2.07, 2 Y 2.28-2.31
15 O 0.5521 0.4369 0.1940  1 Tc 2.07, 2 Y 2.28-2.31
16 O 0.5631 0.8060 0.4479  1 Tc 2.07, 2 Y 2.28-2.31
17 O 0.6936 0.0778 0.9329  1 Tc 2.14, 3 Y 2.28-2.38
18 O 0.8060 0.4479 0.5631  1 Tc 2.07, 2 Y 2.28-2.31
19 O 0.9222 0.0671 0.3064  1 Tc 2.14, 3 Y 2.28-2.38
20 O 0.9329 0.6936 0.0778  1 Tc 2.14, 3 Y 2.28-2.38


Entry 6:
Density functional theory data (PBE-GGA) for a geometry-optimized ZrAgSe2O structure.

symmetry: P4/mmm, No. 123
density of states at the Fermi level: 4.675 states/eV per cell
spin magnetization: 0.0 μB per cell
formation energy without anion corrections: -1 meV/atom
electronic total energy: -4.666 eV per atom

abc: 4.7105 4.7105 4.1318
angles: 90.00 90.00 90.00
Closest atoms and distances in Å follow each position.
Fractional positions:
1 Zr 0.0000 0.0000 0.0000  8 Se 3.13, 4 Ag 3.33
2 Ag 0.5000 0.5000 0.0000  2 O 2.07
3 Se 0.0000 0.5000 0.5000  2 O 2.36
4 Se 0.5000 0.0000 0.5000  2 O 2.36
5 O 0.5000 0.5000 0.5000  2 Ag 2.07


Entry 7:
Density functional theory data (PBE-GGA) for a geometry-optimized Dy3HoAu4 structure.

symmetry: P4/mmm, No. 123
density of states at the Fermi level: 5.069 states/eV per cell
spin magnetization: 0.0 μB per cell
electronic total energy: -4.799 eV per atom
energy of formation: -6.9 eV/f.u.

abc: 3.5929 3.5929 14.3905
angles: 90.00 90.00 90.00
Closest atoms and distances in Å follow each position.
Fractional positions:
1 Dy 0.0000 0.0000 0.0000  8 Au 3.11
2 Dy 0.0000 0.0000 0.2506  8 Au 3.12
3 Dy 0.0000 0.0000 0.7494  8 Au 3.12
4 Ho 0.0000 0.0000 0.5000  8 Au 3.10
5 Au 0.5000 0.5000 0.1252  8 Dy 3.11-3.12
6 Au 0.5000 0.5000 0.3765  4 Ho 3.10, 4 Dy 3.12
7 Au 0.5000 0.5000 0.6235  4 Ho 3.10, 4 Dy 3.12
8 Au 0.5000 0.5000 0.8748  8 Dy 3.11-3.12


Entry 8:
Density functional theory data (PBE-GGA) for a geometry-optimized CeY2Ni9 structure.

symmetry: R-3m, No. 166
density of states at the Fermi level: 14.708 states/eV per cell
spin magnetization: 0.0 μB per cell
electronic total energy: -6.304 eV per atom
energy of formation: -4.8 eV/f.u.

abc: 8.6547 8.6547 8.6547
angles: 33.38 33.38 33.38
Closest atoms and distances in Å follow each position.
Fractional positions:
1 Ce 0.0000 0.0000 0.0000  18 Ni 2.87-3.20
2 Y 0.1394 0.1394 0.1394  12 Ni 2.85-3.08, 3 Y 3.17
3 Y 0.8606 0.8606 0.8606  12 Ni 2.85-3.08, 3 Y 3.17
4 Ni 0.0819 0.5828 0.5828  7 Ni 2.47-2.51
5 Ni 0.3332 0.3332 0.3332  6 Ni 2.47-2.48
6 Ni 0.4172 0.4172 0.9181  7 Ni 2.47-2.51
7 Ni 0.4172 0.9181 0.4172  7 Ni 2.47-2.51
8 Ni 0.5000 0.5000 0.5000  6 Ni 2.51
9 Ni 0.5828 0.0819 0.5828  7 Ni 2.47-2.51
10 Ni 0.5828 0.5828 0.0819  7 Ni 2.47-2.51
11 Ni 0.6668 0.6668 0.6668  6 Ni 2.47-2.48
12 Ni 0.9181 0.4172 0.4172  7 Ni 2.47-2.51